# 1
Here is an optimized crystal structure of Sr2BrCl3 from Alexandria. Energies are from PBE-GGA.

Properties
offset from the most stable computed form = 8.9 meV per atom
crystal system = monoclinic

a = 17.8856 Å, b = 4.5823 Å, c = 12.6430 Å
α = 90.00°, β = 121.06°, γ = 90.00°
With the nearest neighbours (Å) after each atom.
Space group C2/m (No. 12)
Unique sites:
Sr (0.1240, 0.0000, 0.4366) x4  5 Cl 2.93-2.97
Sr (0.1346, 0.5000, 0.8554) x4  4 Cl 2.89-2.94, 2 Br 3.11
Br (0.0868, 0.0000, 0.6651) x4  4 Sr 3.11-3.30
Cl (0.0532, 0.5000, 0.2621) x4  3 Sr 2.89-2.97
Cl (0.1738, 0.0000, 0.0188) x4  3 Sr 2.92-2.94
Cl (0.2239, 0.5000, 0.5923) x4  3 Sr 2.93-2.95

=====

# 2
Here is an optimized crystal structure of SrBr2Cl from Alexandria. Energies are from PBE-GGA.

Properties
offset from the most stable computed form = 214.2 meV per atom
crystal system = trigonal

a = 4.8136 Å, b = 4.8136 Å, c = 25.8106 Å
α = 90.00°, β = 90.00°, γ = 120.00°
With the nearest neighbours (Å) after each atom.
Space group R-3m (No. 166, hexagonal axes)
Unique sites:
Sr (0.0000, 0.0000, 0.0000) x3  6 Br 3.11
Br (0.0000, 0.0000, 0.3873) x6  1 Cl 2.91, 3 Sr 3.11
Cl (0.0000, 0.0000, 0.5000) x3  2 Br 2.91

=====

# 3
Here is an optimized crystal structure of Sr3BrCl from Alexandria. Energies are from PBE-GGA.

Properties
offset from the most stable computed form = 0.0 meV per atom
crystal system = cubic

a = 5.9889 Å, b = 5.9889 Å, c = 5.9889 Å
α = 90.00°, β = 90.00°, γ = 90.00°
With the nearest neighbours (Å) after each atom.
Space group Pm-3m (No. 221)
Unique sites:
Sr (0.0000, 0.0000, 0.5000) x3  2 Cl 2.99
Br (0.5000, 0.5000, 0.5000) x1  12 Sr 4.23
Cl (0.0000, 0.0000, 0.0000) x1  6 Sr 2.99

=====

# 4
Here is an optimized crystal structure of Sr6Br5Cl7 from Alexandria. Energies are from PBE-GGA.

Properties
crystal system = orthorhombic

a = 13.7437 Å, b = 9.4965 Å, c = 10.1270 Å
α = 90.00°, β = 90.00°, γ = 90.00°
With the nearest neighbours (Å) after each atom.
Space group Amm2 (No. 38)
Unique sites:
Sr (0.0000, 0.0000, 0.0000) x2  5 Cl 2.92-2.97, 1 Br 3.15
Sr (0.1621, 0.0000, 0.4810) x4  3 Cl 2.92-2.93, 3 Br 3.06-3.07
Sr (0.3329, 0.0000, 0.9829) x4  4 Cl 2.94-2.95, 2 Br 3.07
Sr (0.5000, 0.0000, 0.4840) x2  2 Cl 2.92, 4 Br 3.06
Br (0.0000, 0.0000, 0.6894) x2  3 Sr 3.07-3.15
Br (0.3308, 0.0000, 0.6802) x4  3 Sr 3.06-3.07
Br (0.3318, 0.0000, 0.2859) x4  3 Sr 3.06-3.07
Cl (0.0000, 0.0000, 0.2932) x2  3 Sr 2.93-2.97
Cl (0.1653, 0.1932, 0.9892) x8  3 Sr 2.92-2.95
Cl (0.5000, 0.1927, 0.9825) x4  3 Sr 2.92-2.94

=====

# 5
Here is an optimized crystal structure of SrBr2Cl from Alexandria. Energies are from PBE-GGA.

Properties
offset from the most stable computed form = 249.7 meV per atom
crystal system = trigonal

a = 5.0695 Å, b = 5.0695 Å, c = 17.4752 Å
α = 90.00°, β = 90.00°, γ = 120.00°
With the nearest neighbours (Å) after each atom.
Space group R-3m (No. 166, hexagonal axes)
Unique sites:
Sr (0.0000, 0.0000, 0.0000) x3  6 Br 3.15
Br (0.0000, 0.0000, 0.2667) x6  3 Sr 3.15, 3 Cl 3.41
Cl (0.0000, 0.0000, 0.5000) x3  6 Br 3.41

=====

# 6
Here is an optimized crystal structure of SrBr2Cl from Alexandria. Energies are from PBE-GGA.

Properties
offset from the most stable computed form = 259.0 meV per atom
crystal system = cubic

a = 7.7055 Å, b = 7.7055 Å, c = 7.7055 Å
α = 90.00°, β = 90.00°, γ = 90.00°
With the nearest neighbours (Å) after each atom.
Space group Fm-3m (No. 225)
Unique sites:
Sr (0.0000, 0.0000, 0.0000) x4  8 Br 3.34
Br (0.2500, 0.2500, 0.2500) x8  4 Cl 3.34, 4 Sr 3.34
Cl (0.0000, 0.0000, 0.5000) x4  8 Br 3.34

=====

# 7
Here is an optimized crystal structure of Sr2Br3Cl from Alexandria. Energies are from PBE-GGA.

Properties
offset from the most stable computed form = 16.0 meV per atom
crystal system = orthorhombic

a = 9.2747 Å, b = 10.1936 Å, c = 9.8292 Å
α = 90.00°, β = 90.00°, γ = 90.00°
With the nearest neighbours (Å) after each atom.
Space group Imma (No. 74)
Unique sites:
Sr (0.0000, 0.2500, 0.2327) x4  1 Cl 2.92, 5 Br 3.07-3.09
Sr (0.2500, 0.2500, 0.7500) x4  2 Cl 2.95, 4 Br 3.06-3.09
Br (0.0000, 0.2500, 0.5466) x4  3 Sr 3.06-3.09
Br (0.2500, 0.0530, 0.2500) x8  3 Sr 3.07-3.09
Cl (0.0000, 0.2500, 0.9355) x4  3 Sr 2.92-2.95

=====

# 8
Here is an optimized crystal structure of SrBr4Cl from Alexandria. Energies are from PBE-GGA.

Properties
crystal system = cubic

a = 8.8171 Å, b = 8.8171 Å, c = 8.8171 Å
α = 90.00°, β = 90.00°, γ = 90.00°
With the nearest neighbours (Å) after each atom.
Space group F-43m (No. 216)
Unique sites:
Sr (0.0000, 0.0000, 0.0000) x4  12 Br 3.66, 4 Cl 3.82
Br (0.1249, 0.1249, 0.6249) x16  6 Br 3.12
Cl (0.2500, 0.2500, 0.2500) x4  12 Br 3.66, 4 Sr 3.82

=====

# 9
Here is an optimized crystal structure of Sr5Br3Cl12 from Alexandria. Energies are from PBE-GGA.

Properties
crystal system = cubic

a = 17.9368 Å, b = 17.9368 Å, c = 17.9368 Å
α = 90.00°, β = 90.00°, γ = 90.00°
With the nearest neighbours (Å) after each atom.
Space group Ia-3d (No. 230)
Unique sites:
Sr (0.0000, 0.0000, 0.0000) x16  6 Cl 2.90
Sr (0.0000, 0.2500, 0.3750) x24  4 Cl 2.80
Br (0.0000, 0.2500, 0.1250) x24  4 Cl 3.30
Cl (0.0408, 0.0714, 0.6394) x96  2 Sr 2.80-2.90

=====

# 10
Here is an optimized crystal structure of Sr5Br12Cl3 from Alexandria. Energies are from PBE-GGA.

Properties
crystal system = cubic

a = 19.4245 Å, b = 19.4245 Å, c = 19.4245 Å
α = 90.00°, β = 90.00°, γ = 90.00°
With the nearest neighbours (Å) after each atom.
Space group Ia-3d (No. 230)
Unique sites:
Sr (0.0000, 0.0000, 0.0000) x16  6 Br 3.05
Sr (0.0000, 0.2500, 0.3750) x24  4 Br 2.94
Br (0.0115, 0.0289, 0.6539) x96  2 Sr 2.94-3.05, 1 Cl 3.29
Cl (0.0000, 0.2500, 0.1250) x24  4 Br 3.29

=====

# 11
Here is an optimized crystal structure of Sr2Br2Cl from Alexandria. Energies are from PBE-GGA.

Properties
crystal system = tetragonal

a = 8.1528 Å, b = 8.1528 Å, c = 4.8464 Å
α = 90.00°, β = 90.00°, γ = 90.00°
With the nearest neighbours (Å) after each atom.
Space group P4/mbm (No. 127)
Unique sites:
Sr (0.1715, 0.3285, 0.0000) x4  2 Cl 3.02, 2 Br 3.15
Br (0.1534, 0.6534, 0.5000) x4  2 Sr 3.15
Cl (0.0000, 0.0000, 0.0000) x2  4 Sr 3.02

=====

# 12
Here is an optimized crystal structure of SrBr2Cl from Alexandria. Energies are from PBE-GGA.

Properties
offset from the most stable computed form = 0.0 meV per atom
crystal system = monoclinic

a = 5.6689 Å, b = 4.8375 Å, c = 5.6704 Å
α = 90.00°, β = 119.77°, γ = 90.00°
With the nearest neighbours (Å) after each atom.
Space group P2/m (No. 10)
Unique sites:
Sr (0.0000, 0.0000, 0.0000) x1  2 Cl 2.83
Br (0.2227, 0.5000, 0.4451) x2  2 Br 2.89
Cl (0.5000, 0.0000, 0.0000) x1  2 Sr 2.83

=====

# 13
Here is an optimized crystal structure of SrBr2Cl from Alexandria. Energies are from PBE-GGA.

Properties
offset from the most stable computed form = 123.1 meV per atom
crystal system = tetragonal

a = 4.4529 Å, b = 4.4529 Å, c = 11.0938 Å
α = 90.00°, β = 90.00°, γ = 90.00°
With the nearest neighbours (Å) after each atom.
Space group I4/mmm (No. 139)
Unique sites:
Sr (0.0000, 0.0000, 0.0000) x2  4 Cl 3.15
Br (0.0000, 0.5000, 0.2500) x4  4 Br 3.15
Cl (0.0000, 0.0000, 0.5000) x2  4 Sr 3.15

=====

# 14
Here is an optimized crystal structure of SrBr2Cl from Alexandria. Energies are from PBE-GGA.

Properties
offset from the most stable computed form = 22.6 meV per atom
crystal system = monoclinic

a = 5.3554 Å, b = 5.4458 Å, c = 5.4177 Å
α = 90.00°, β = 117.31°, γ = 90.00°
With the nearest neighbours (Å) after each atom.
Space group Pm (No. 6)
Unique sites:
Sr (0.0000, 0.0000, 0.0000) x1  2 Cl 3.02, 5 Br 3.11-3.23
Br (0.1528, 0.5000, 0.7794) x1  2 Cl 2.69-2.73
Br (0.6516, 0.0000, 0.3364) x1  3 Sr 3.11-3.20
Cl (0.1263, 0.5000, 0.2714) x1  2 Br 2.69-2.73

=====

# 15
Here is an optimized crystal structure of SrBr2Cl from Alexandria. Energies are from PBE-GGA.

Properties
offset from the most stable computed form = 15.0 meV per atom
crystal system = monoclinic

a = 10.1225 Å, b = 4.3271 Å, c = 6.4628 Å
α = 90.00°, β = 104.97°, γ = 90.00°
With the nearest neighbours (Å) after each atom.
Space group Cm (No. 8)
Unique sites:
Sr (0.0000, 0.0000, 0.0000) x2  3 Cl 2.99-3.01, 4 Br 3.17
Br (0.0243, 0.5000, 0.3663) x2  1 Br 2.90, 2 Sr 3.17
Br (0.3515, 0.0000, 0.6619) x2  1 Br 2.90, 2 Sr 3.17
Cl (0.2057, 0.5000, 0.0148) x2  3 Sr 2.99-3.01, 1 Br 3.27

=====

# 16
Here is an optimized crystal structure of SrBr2Cl from Alexandria. Energies are from PBE-GGA.

Properties
offset from the most stable computed form = 189.3 meV per atom
crystal system = tetragonal

a = 4.4658 Å, b = 4.4658 Å, c = 23.9019 Å
α = 90.00°, β = 90.00°, γ = 90.00°
With the nearest neighbours (Å) after each atom.
Space group I-42d (No. 122)
Unique sites:
Sr (0.0000, 0.0000, 0.0000) x4  4 Cl 3.16, 4 Br 3.37
Br (0.2405, 0.2500, 0.1250) x8  4 Br 3.10-3.22, 2 Sr 3.37, 2 Cl 3.39
Cl (0.0000, 0.0000, 0.5000) x4  4 Sr 3.16, 4 Br 3.39

=====

# 17
Here is an optimized crystal structure of SrBr2Cl from Alexandria. Energies are from PBE-GGA.

Properties
offset from the most stable computed form = 66.4 meV per atom
crystal system = orthorhombic

a = 5.7314 Å, b = 7.4993 Å, c = 5.4268 Å
α = 90.00°, β = 90.00°, γ = 90.00°
With the nearest neighbours (Å) after each atom.
Space group Cmmm (No. 65)
Unique sites:
Sr (0.0000, 0.0000, 0.0000) x2  2 Cl 2.87
Br (0.2500, 0.2500, 0.5000) x4  2 Br 2.87
Cl (0.0000, 0.5000, 0.0000) x2  2 Sr 2.87

=====

ΔE_f (raw) in eV per atom, matching the order above: -2.367, -1.324, -0.661, -2.315, -1.289, -1.279, -2.198, -0.546, -1.512, -1.233, -1.839, -1.538, -1.415, -1.516, -1.523, -1.349, -1.472
Calculated volume in Å³/f.u., matching the order above: 222, 173, 215, 661, 130, 114, 232, 171, 721, 916, 161, 135, 110, 140, 137, 119, 117
Uncorrected energy in eV per atom, matching the order above: -4.13, -3.04, -2.37, -4.06, -3.01, -3.00, -3.90, -2.25, -3.29, -2.93, -3.55, -3.26, -3.13, -3.23, -3.24, -3.07, -3.19